Record 1
Material: Mn2FeSb
Method: DFT, PBE
State: relaxed

Cell and atoms, written as CIF:
```
data_Mn2FeSb
_cell_length_a 3.6654
_cell_length_b 3.6654
_cell_length_c 17.3541
_cell_angle_alpha 90.00
_cell_angle_beta 90.00
_cell_angle_gamma 90.00
_symmetry_space_group_name_H-M 'I -4 2 d'
_symmetry_Int_Tables_number 122
_symmetry_space_group_name_Hall 'I -4 2bw'
loop_
_atom_site_label
_atom_site_fract_x
_atom_site_fract_y
_atom_site_fract_z
Mn1 0.1655 0.2500 0.1250
Fe1 0.0000 0.0000 0.0000
Sb1 0.0000 0.0000 0.5000
```

Output
Energy, eV/atom: -7.034
Crystal system: tetragonal
Formation energy (no corrections), eV per atom: 0.70
Total moment, Bohr magnetons per cell: 0.002

=====

Record 2
Material: CaBiSe2O
Method: DFT, PBE
State: relaxed

Cell and atoms, written as CIF:
```
data_CaBiSe2O
_cell_length_a 5.5120
_cell_length_b 5.5120
_cell_length_c 4.2629
_cell_angle_alpha 90.00
_cell_angle_beta 90.00
_cell_angle_gamma 90.00
_symmetry_space_group_name_H-M 'P 4/m m m'
_symmetry_Int_Tables_number 123
_symmetry_space_group_name_Hall '-P 4 2'
loop_
_atom_site_label
_atom_site_fract_x
_atom_site_fract_y
_atom_site_fract_z
Ca1 0.0000 0.0000 0.0000
Bi1 0.5000 0.5000 0.5000
Se1 0.0000 0.5000 0.5000
O1 0.5000 0.5000 0.0000
```

Output
Energy, eV/atom: -4.342
Crystal system: tetragonal
Formation energy (no corrections), eV per atom: -0.78
Total moment, Bohr magnetons per cell: 0.000

=====

> Among the records above, which one has the highest formation energy (no corrections)?

Mn2FeSb

=====

> total moment of number 2 (CaBiSe2O)?

0.000 Bohr magnetons per cell